1.
The following is a PBE calculation of UP2W after structural relaxation, from the Alexandria database.

Values from the calculation:
ΔH_f (0 K) = 0.06 eV/f.u.
Polymorph energy (0 for the lowest one) = 487 meV/atom
DFT total energy = -8.750 eV/atom

Structure (CIF):
```
data_UP2W
_cell_length_a 2.9973
_cell_length_b 2.9973
_cell_length_c 27.8290
_cell_angle_alpha 90.00
_cell_angle_beta 90.00
_cell_angle_gamma 120.00
_symmetry_space_group_name_H-M 'R -3 m'
_symmetry_Int_Tables_number 166
_symmetry_space_group_name_Hall '-R 3 2"'
loop_
_atom_site_label
_atom_site_type_symbol
_atom_site_fract_x
_atom_site_fract_y
_atom_site_fract_z
U1 U 0.0000 0.0000 0.0000
P1 P 0.0000 0.0000 0.1026
W1 W 0.0000 0.0000 0.5000
```



2.
The following is a PBE calculation of CrInAgPd2 after structural relaxation, from the Alexandria database.

Values from the calculation:
ΔH_f (0 K) = 4.60 eV/f.u.
DFT total energy = -4.200 eV/atom

Structure (CIF):
```
data_CrInAgPd2
_cell_length_a 4.941
_cell_length_b 4.941
_cell_length_c 5.093
_cell_angle_alpha 90.00
_cell_angle_beta 90.00
_cell_angle_gamma 90.00
_symmetry_space_group_name_H-M 'P 4/m m m'
_symmetry_Int_Tables_number 123
_symmetry_space_group_name_Hall '-P 4 2'
loop_
_atom_site_label
_atom_site_type_symbol
_atom_site_fract_x
_atom_site_fract_y
_atom_site_fract_z
Cr1 Cr 0.000 0.000 0.000
In1 In 0.000 0.000 0.500
Ag1 Ag 0.500 0.500 0.000
Pd1 Pd 0.000 0.500 0.500
```



3.
The following is a PBE calculation of Cd2SbPd8 after structural relaxation, from the Alexandria database.

Values from the calculation:
Formation energy from raw total energies = -291.8 meV/atom
Polymorph energy (0 for the lowest one) = 0 meV/atom
DFT total energy = -4.610 eV/atom

Structure (CIF):
```
data_Cd2SbPd8
_cell_length_a 15.055
_cell_length_b 4.636
_cell_length_c 5.932
_cell_angle_alpha 90.00
_cell_angle_beta 113.11
_cell_angle_gamma 90.00
_symmetry_space_group_name_H-M 'C 1 2/m 1'
_symmetry_Int_Tables_number 12
_symmetry_space_group_name_Hall '-C 2y'
loop_
_atom_site_label
_atom_site_type_symbol
_atom_site_fract_x
_atom_site_fract_y
_atom_site_fract_z
Cd1 Cd 0.181 0.000 0.181
Sb1 Sb 0.000 0.500 0.500
Pd1 Pd 0.000 0.000 0.244
Pd2 Pd 0.148 0.500 0.388
Pd3 Pd 0.148 0.500 0.908
Pd4 Pd 0.176 0.000 0.676
```



4.
The following is a PBE calculation of TlGaPb3 after structural relaxation, from the Alexandria database.

Values from the calculation:
ΔH_f (0 K) = 0.23 eV/f.u.
Polymorph energy (0 for the lowest one) = 0 meV/atom
DFT total energy = -3.257 eV/atom

Structure (CIF):
```
data_TlGaPb3
_cell_length_a 6.054
_cell_length_b 6.252
_cell_length_c 8.874
_cell_angle_alpha 82.65
_cell_angle_beta 70.99
_cell_angle_gamma 68.20
_symmetry_space_group_name_H-M 'P -1'
_symmetry_Int_Tables_number 2
_symmetry_space_group_name_Hall '-P 1'
loop_
_atom_site_label
_atom_site_type_symbol
_atom_site_fract_x
_atom_site_fract_y
_atom_site_fract_z
Tl1 Tl 0.152 0.254 0.189
Ga1 Ga 0.349 0.248 0.806
Pb1 Pb 0.050 0.752 0.397
Pb2 Pb 0.256 0.753 0.994
Pb3 Pb 0.459 0.749 0.585
```



5.
The following is a PBE calculation of CaMg4Pd after structural relaxation, from the Alexandria database.

Values from the calculation:
ΔH_f (0 K) = -2.03 eV/f.u.
DFT total energy = -2.601 eV/atom

Structure (CIF):
```
data_CaMg4Pd
_cell_length_a 9.019
_cell_length_b 4.111
_cell_length_c 7.661
_cell_angle_alpha 90.00
_cell_angle_beta 90.00
_cell_angle_gamma 90.00
_symmetry_space_group_name_H-M 'P m m a'
_symmetry_Int_Tables_number 51
_symmetry_space_group_name_Hall '-P 2a 2a'
loop_
_atom_site_label
_atom_site_type_symbol
_atom_site_fract_x
_atom_site_fract_y
_atom_site_fract_z
Ca1 Ca 0.250 0.000 0.094
Mg1 Mg 0.000 0.000 0.500
Mg2 Mg 0.063 0.500 0.802
Mg3 Mg 0.250 0.500 0.453
Pd1 Pd 0.250 0.000 0.695
```



6.
The following is a PBE calculation of ScMnN3 after structural relaxation, from the Alexandria database.

Values from the calculation:
Formation energy from raw total energies = -26.2 meV/atom
DFT total energy = -8.122 eV/atom

Structure (CIF):
```
data_ScMnN3
_cell_length_a 3.658
_cell_length_b 3.658
_cell_length_c 3.658
_cell_angle_alpha 90.00
_cell_angle_beta 90.00
_cell_angle_gamma 90.00
_symmetry_space_group_name_H-M 'P m -3 m'
_symmetry_Int_Tables_number 221
_symmetry_space_group_name_Hall '-P 4 2 3'
loop_
_atom_site_label
_atom_site_type_symbol
_atom_site_fract_x
_atom_site_fract_y
_atom_site_fract_z
Sc1 Sc 0.000 0.000 0.000
Mn1 Mn 0.500 0.500 0.500
N1 N 0.000 0.500 0.500
```



7.
The following is a PBE calculation of SbTeH after structural relaxation, from the Alexandria database.

Values from the calculation:
Polymorph energy (0 for the lowest one) = 75 meV/atom
DFT total energy = -3.348 eV/atom

Structure (CIF):
```
data_SbTeH
_cell_length_a 3.166
_cell_length_b 5.734
_cell_length_c 4.747
_cell_angle_alpha 90.00
_cell_angle_beta 90.36
_cell_angle_gamma 90.00
_symmetry_space_group_name_H-M 'P 1 m 1'
_symmetry_Int_Tables_number 6
_symmetry_space_group_name_Hall 'P -2y'
loop_
_atom_site_label
_atom_site_type_symbol
_atom_site_fract_x
_atom_site_fract_y
_atom_site_fract_z
Sb1 Sb 0.000 0.000 0.000
Te1 Te 0.002 0.500 0.158
H1 H 0.997 0.000 0.633
```



8.
The following is a PBE calculation of KRb2SO after structural relaxation, from the Alexandria database.

Values from the calculation:
Formation energy from raw total energies = -430.9 meV/atom
DFT total energy = -2.855 eV/atom

Structure (CIF):
```
data_KRb2SO
_cell_length_a 5.190
_cell_length_b 5.190
_cell_length_c 6.120
_cell_angle_alpha 90.00
_cell_angle_beta 90.00
_cell_angle_gamma 90.00
_symmetry_space_group_name_H-M 'P 4/m m m'
_symmetry_Int_Tables_number 123
_symmetry_space_group_name_Hall '-P 4 2'
loop_
_atom_site_label
_atom_site_type_symbol
_atom_site_fract_x
_atom_site_fract_y
_atom_site_fract_z
K1 K 0.000 0.000 0.000
Rb1 Rb 0.000 0.500 0.500
S1 S 0.500 0.500 0.000
O1 O 0.500 0.500 0.500
```



9.
The following is a PBE calculation of LaTePd2Au after structural relaxation, from the Alexandria database.

Values from the calculation:
Formation energy from raw total energies = -235.9 meV/atom
DFT total energy = -4.582 eV/atom

Structure (CIF):
```
data_LaTePd2Au
_cell_length_a 4.949
_cell_length_b 4.949
_cell_length_c 5.356
_cell_angle_alpha 90.00
_cell_angle_beta 90.00
_cell_angle_gamma 90.00
_symmetry_space_group_name_H-M 'P 4/m m m'
_symmetry_Int_Tables_number 123
_symmetry_space_group_name_Hall '-P 4 2'
loop_
_atom_site_label
_atom_site_type_symbol
_atom_site_fract_x
_atom_site_fract_y
_atom_site_fract_z
La1 La 0.000 0.000 0.000
Te1 Te 0.500 0.500 0.500
Pd1 Pd 0.000 0.500 0.500
Au1 Au 0.500 0.500 0.000
```



10.
The following is a PBE calculation of TcAg2Au after structural relaxation, from the Alexandria database.

Values from the calculation:
ΔH_f (0 K) = 2.03 eV/f.u.
Polymorph energy (0 for the lowest one) = 216 meV/atom
DFT total energy = -4.328 eV/atom

Structure (CIF):
```
data_TcAg2Au
_cell_length_a 4.103
_cell_length_b 4.103
_cell_length_c 8.286
_cell_angle_alpha 90.00
_cell_angle_beta 90.00
_cell_angle_gamma 90.00
_symmetry_space_group_name_H-M 'I 4/m m m'
_symmetry_Int_Tables_number 139
_symmetry_space_group_name_Hall '-I 4 2'
loop_
_atom_site_label
_atom_site_type_symbol
_atom_site_fract_x
_atom_site_fract_y
_atom_site_fract_z
Tc1 Tc 0.000 0.000 0.000
Ag1 Ag 0.000 0.500 0.250
Au1 Au 0.000 0.000 0.500
```



11.
The following is a PBE calculation of Tc2BRh after structural relaxation, from the Alexandria database.

Values from the calculation:
ΔH_f (0 K) = 1.25 eV/f.u.
DFT total energy = -8.379 eV/atom

Structure (CIF):
```
data_Tc2BRh
_cell_length_a 2.8829
_cell_length_b 2.8829
_cell_length_c 22.6823
_cell_angle_alpha 90.00
_cell_angle_beta 90.00
_cell_angle_gamma 120.00
_symmetry_space_group_name_H-M 'R -3 m'
_symmetry_Int_Tables_number 166
_symmetry_space_group_name_Hall '-R 3 2"'
loop_
_atom_site_label
_atom_site_type_symbol
_atom_site_fract_x
_atom_site_fract_y
_atom_site_fract_z
Tc1 Tc 0.0000 0.0000 0.1095
B1 B 0.0000 0.0000 0.5000
Rh1 Rh 0.0000 0.0000 0.0000
```



12.
The following is a PBE calculation of SiAg2F8 after structural relaxation, from the Alexandria database.

Values from the calculation:
Formation energy from raw total energies = -1977.8 meV/atom
DFT total energy = -4.350 eV/atom

Structure (CIF):
```
data_SiAg2F8
_cell_length_a 9.077
_cell_length_b 7.098
_cell_length_c 4.643
_cell_angle_alpha 90.00
_cell_angle_beta 90.59
_cell_angle_gamma 90.00
_symmetry_space_group_name_H-M 'C 1 2/m 1'
_symmetry_Int_Tables_number 12
_symmetry_space_group_name_Hall '-C 2y'
loop_
_atom_site_label
_atom_site_type_symbol
_atom_site_fract_x
_atom_site_fract_y
_atom_site_fract_z
Si1 Si 0.000 0.000 0.000
Ag1 Ag 0.137 0.500 0.245
F1 F 0.095 0.500 0.739
F2 F 0.101 0.168 0.174
F3 F 0.128 0.000 0.722
```